1.
## EuZnGe (PBE-GGA)

Data for a relaxed EuZnGe crystal.

For the final energy, the calculation gives -17.80 eV/cell. For the volume, the calculation gives 23.371 A^3/atom. The energy relative to the elements is -157 kJ/mol of formula units.

Cell: 4.2777 4.2777 4.4243 Å, 90.00 90.00 120.00°
Last column: nearest neighbours and their distance in Å.
Space group P-6m2 (No. 187)
Inequivalent atoms, fractional coordinates:
1 Eu 0.0000 0.0000 0.0000 (multiplicity 1)  6 Zn 3.32, 6 Ge 3.32
2 Zn 0.3333 0.6667 0.5000 (multiplicity 1)  3 Ge 2.47
3 Ge 0.6667 0.3333 0.5000 (multiplicity 1)  3 Zn 2.47

---

2.
## Y7Tm5 (PBE-GGA)

Data for a relaxed Y7Tm5 crystal.

For the final energy, the calculation gives -134.96 eV/cell. The excess energy over the best structure of this formula in the dataset comes out at 0.000 eV/atom. For the volume, the calculation gives 31.313 A^3/atom. The energy relative to the elements is 12 kJ/mol of formula units.

Cell: 18.4639 3.5527 13.0053 Å, 90.00 118.25 90.00°
Last column: nearest neighbours and their distance in Å.
Space group C2/m (No. 12)
Inequivalent atoms, fractional coordinates:
1 Y 0.0000 0.0000 0.0000 (multiplicity 2)  6 Tm 3.51-3.56, 6 Y 3.52-3.55
2 Y 0.0282 0.5000 0.2502 (multiplicity 4)  8 Y 3.52-3.56, 4 Tm 3.53-3.55
3 Y 0.1393 0.0000 0.7509 (multiplicity 4)  7 Tm 3.50-3.55, 5 Y 3.51-3.56
4 Y 0.1673 0.0000 0.5023 (multiplicity 4)  7 Y 3.51-3.56, 5 Tm 3.52-3.56
5 Tm 0.0000 0.5000 0.5000 (multiplicity 2)  10 Y 3.53-3.55, 2 Tm 3.55
6 Tm 0.1674 0.5000 0.0011 (multiplicity 4)  6 Y 3.50-3.56, 6 Tm 3.50-3.55
7 Tm 0.1939 0.0000 0.2483 (multiplicity 4)  4 Tm 3.50-3.55, 8 Y 3.51-3.56